Density functional theory data (GGA-PBE) for a relaxed Nd4GaI5 crystal.

Calculated values
- uncorrected energy (eV/atom) = -4.15

Cell: 10.074 10.074 9.097 Å, 102.20 102.20 24.94°
Sites, in units of the cell vectors:
Ga  0.500  0.500  0.000
I  0.833  0.833  0.663
I  0.500  0.500  0.500
I  0.172  0.172  0.826
I  0.167  0.167  0.337
I  0.828  0.828  0.174
Nd  0.000  0.000  0.781
Nd  0.351  0.351  0.925
Nd  0.649  0.649  0.075
Nd  0.000  0.000  0.219



Density functional theory data (GGA-PBE) for a relaxed Nd2GaNiI2 crystal.

Calculated values
- uncorrected energy (eV/atom) = -4.53

Cell: 4.238 4.238 12.296 Å, 90.00 90.00 120.00°
Sites, in units of the cell vectors:
I  0.000  0.000  0.334
I  0.333  0.667  0.667
Nd  0.667  0.333  0.842
Nd  0.667  0.333  0.157
Ni  0.333  0.667  0.004
Ga  0.000  0.000  0.997



Density functional theory data (GGA-PBE) for a relaxed PrNdGa2I2 crystal.

Calculated values
- uncorrected energy (eV/atom) = -4.20

Cell: 4.314 4.314 12.543 Å, 90.00 90.00 120.00°
Sites, in units of the cell vectors:
Nd  0.000  0.000  0.668
I  0.333  0.667  0.166
I  0.667  0.333  0.832
Pr  0.000  0.000  0.332
Ga  0.333  0.667  0.526
Ga  0.667  0.333  0.476



Density functional theory data (GGA-PBE) for a relaxed NdTmGa2I2 crystal.

Calculated values
- uncorrected energy (eV/atom) = -4.09

Cell: 4.232 4.232 12.325 Å, 90.00 90.00 120.00°
Sites, in units of the cell vectors:
Ga  0.667  0.333  0.466
Ga  0.333  0.667  0.521
Tm  0.000  0.000  0.334
I  0.667  0.333  0.836
I  0.333  0.667  0.176
Nd  0.000  0.000  0.666



Listing spin magnetization for the structures above in their given order: 0.0, 0.1, 0.0, 0.0 μB per cell.